A geometry-optimized BiS structure, computed with PBE-GGA.

Cell: 8.040 8.040 8.040 Å, 90.00 90.00 90.00°
Fractional coordinates of all 12 atoms:
Bi (0.000, 0.250, 0.500)
Bi (0.000, 0.750, 0.500)
Bi (0.250, 0.500, 0.000)
Bi (0.500, 0.000, 0.250)
Bi (0.500, 0.000, 0.750)
Bi (0.750, 0.500, 0.000)
S (0.000, 0.500, 0.250)
S (0.000, 0.500, 0.750)
S (0.250, 0.000, 0.500)
S (0.500, 0.250, 0.000)
S (0.500, 0.750, 0.000)
S (0.750, 0.000, 0.500)

Computed properties:
Formation energy from raw total energies (eV per atom): 0.25